Record 1
Entry from the Alexandria database: a relaxed structure of Be2CdIr (PBE-GGA).

Cell: 8.2234 8.2234 8.2234 Å, 19.80 19.80 19.80°
Fractional coordinates of all 4 atoms:
Be1 0.4855 0.4855 0.4855
Be2 0.0145 0.0145 0.0145
Cd1 0.2500 0.2500 0.2500
Ir1 0.7500 0.7500 0.7500

For the formation energy, the calculation gives 0.098 eV per atom.



Record 2
Entry from the Alexandria database: a relaxed structure of Dy2Cd2Pb (PBE-GGA).

Cell: 8.1009 8.1009 6.1388 Å, 44.76 44.76 32.06°
Fractional coordinates of all 5 atoms:
Pb1 0.0000 0.0000 0.0000
Dy1 0.6990 0.6990 0.8114
Dy2 0.3010 0.3010 0.1886
Cd1 0.5959 0.5959 0.4888
Cd2 0.4041 0.4041 0.5112

For the formation energy, the calculation gives -0.192 eV per atom.



Record 3
Entry from the Alexandria database: a relaxed structure of AlMo2Cl (PBE-GGA).

Cell: 6.4873 6.4873 6.4873 Å, 151.50 140.47 49.45°
Fractional coordinates of all 4 atoms:
Al1 0.5390 0.5390 0.0000
Cl1 0.8018 0.3018 0.5000
Mo1 0.0033 0.0033 0.0000
Mo2 0.1559 0.6559 0.5000

For the uncorrected formation energy, the calculation gives 283 meV/atom. For the energy above the most stable polymorph in this dataset, the calculation gives 0.246 eV per atom.



Record 4
Entry from the Alexandria database: a relaxed structure of KInGaSi2 (PBE-GGA).

Cell: 5.2013 6.0809 5.2013 Å, 90.00 90.00 90.00°
Fractional coordinates of all 5 atoms:
In1 0.0000 0.0000 0.0000
Si1 0.0000 0.0000 0.5000
Si2 0.5000 0.0000 0.0000
K1 0.0000 0.5000 0.0000
Ga1 0.5000 0.5000 0.5000

For the uncorrected formation energy, the calculation gives 887 meV/atom.



Record 5
Entry from the Alexandria database: a relaxed structure of LuZrReAg (PBE-GGA).

Cell: 4.8074 4.8074 4.8074 Å, 60.00 60.00 60.00°
Fractional coordinates of all 4 atoms:
Re1 0.0000 0.0000 0.0000
Zr1 0.7500 0.7500 0.7500
Lu1 0.2500 0.2500 0.2500
Ag1 0.5000 0.5000 0.5000

For the formation energy, the calculation gives -0.107 eV per atom.



Record 6
Entry from the Alexandria database: a relaxed structure of SbMoPI2 (PBE-GGA).

Cell: 5.4087 5.4087 5.3736 Å, 90.00 90.00 90.00°
Fractional coordinates of all 5 atoms:
Sb1 0.0000 0.0000 0.5000
I1 0.5000 0.0000 0.0000
I2 0.0000 0.5000 0.0000
P1 0.5000 0.5000 0.5000
Mo1 0.0000 0.0000 0.0000

For the uncorrected formation energy, the calculation gives 996 meV/atom. For the energy above the most stable polymorph in this dataset, the calculation gives 0.000 eV per atom.



Record 7
Entry from the Alexandria database: a relaxed structure of NdTlCuSe2 (PBE-GGA).

Cell: 5.6992 6.5445 8.2405 Å, 104.82 90.00 90.00°
Fractional coordinates of all 10 atoms:
Nd1 0.4890 0.0000 0.7500
Nd2 0.5110 0.0000 0.2500
Se1 0.7169 0.7397 0.9423
Se2 0.2831 0.7397 0.4423
Se3 0.2831 0.2603 0.0577
Se4 0.7169 0.2603 0.5577
Cu1 0.0000 0.0000 0.5000
Cu2 0.0000 0.0000 0.0000
Tl1 0.1959 0.5000 0.7500
Tl2 0.8041 0.5000 0.2500

For the uncorrected formation energy, the calculation gives -724 meV/atom.



Record 8
Entry from the Alexandria database: a relaxed structure of PrHg (PBE-GGA).

Cell: 3.8673 3.8673 3.8666 Å, 90.00 90.00 90.00°
Fractional coordinates of all 2 atoms:
Hg1 0.0000 0.0000 0.0000
Pr1 0.5000 0.5000 0.5000

For the formation energy, the calculation gives -0.473 eV per atom.